# KNpMnO4

A geometry-optimized KNpMnO4 structure (PBE+U, Alexandria via LeMat-Bulk).

a b c (Å): 7.038 6.806 7.074
angles (deg): 121.31 90.00 121.13
Each line ends with the local moment (μB).
Element x y z (fractional)
O (0.720, 0.439, 0.268)  -0.04
O (0.280, 0.561, 0.732)  -0.04
O (0.303, 0.990, 0.745)  -0.04
Np (0.500, 0.000, 0.000)  2.31
K (0.129, 0.259, 0.879)  0.00
Mn (0.500, 0.500, 0.500)  4.62
O (0.720, 0.439, 0.671)  -0.04
K (0.871, 0.741, 0.121)  0.00
O (0.312, 0.010, 0.255)  -0.04
Mn (0.000, 0.500, 0.500)  4.62
O (0.688, 0.990, 0.745)  -0.04
O (0.280, 0.561, 0.329)  -0.04
Np (0.500, 0.000, 0.500)  2.31
O (0.697, 0.010, 0.255)  -0.04

Uncorrected energy (eV per cell): -114.7
Fermi-level density of states (states/eV/cell): 6.81
Space group: No. 74